*one*
# NdPa2Tc

A geometry-optimized NdPa2Tc structure (PBE, Alexandria).

V in Å³/f.u.: 96.3

Lattice parameters (Å, degrees): 4.7050 4.7050 15.0653 90.00 90.00 120.00
With the nearest neighbours (Å) after each atom.
Space group R-3m (No. 166, hexagonal axes)
Asymmetric unit:
Nd 0.0000 0.0000 0.0000  6 Pa 3.07
Pa 0.0000 0.0000 0.2378  3 Tc 2.92, 3 Nd 3.07
Tc 0.0000 0.0000 0.5000  6 Pa 2.92

*two*
# NdPa2Tc

A geometry-optimized NdPa2Tc structure (PBE, Alexandria).

V in Å³/f.u.: 101.2

Lattice parameters (Å, degrees): 3.5227 3.5227 8.1558 90.00 90.00 90.00
With the nearest neighbours (Å) after each atom.
Space group P4/mmm (No. 123)
Asymmetric unit:
Nd 0.0000 0.0000 0.0000  4 Nd 3.52, 8 Pa 3.56
Pa 0.5000 0.5000 0.3115  4 Tc 2.93, 1 Pa 3.08
Tc 0.0000 0.0000 0.5000  8 Pa 2.93

Pick the most stable structure from those above. Pick: *two*